Record 1
This record from Alexandria via LeMat-Bulk describes a relaxed Dy2Ho4Cd crystal. The functional is PBE.

Output
* magnetization: 0.000 μB/f.u.
* total energy: -4.02 eV/atom
* energy of formation from the pure elements: 0.044 eV/atom

a = 8.371 Å, b = 8.371 Å, c = 8.424 Å
α = 116.63°, β = 116.63°, γ = 23.95°
Fractional positions:
Dy 0.218 0.218 0.141
Dy 0.782 0.782 0.859
Ho 0.080 0.080 0.702
Ho 0.369 0.369 0.606
Ho 0.631 0.631 0.394
Ho 0.920 0.920 0.298
Cd 0.000 0.000 0.000

---

Record 2
This record from Alexandria via LeMat-Bulk describes a relaxed DyHo5Cd3 crystal. The functional is PBE.

Output
* magnetization: 0.000 μB/f.u.
* total energy: -3.55 eV/atom
* energy of formation from the pure elements: -0.188 eV/atom

a = 9.134 Å, b = 9.134 Å, c = 6.910 Å
α = 90.00°, β = 90.00°, γ = 120.00°
Fractional positions:
Dy 0.000 0.000 0.000
Dy 0.000 0.000 0.500
Ho 0.000 0.334 0.250
Ho 0.000 0.666 0.750
Ho 0.333 0.667 0.000
Ho 0.333 0.667 0.500
Ho 0.334 0.000 0.250
Ho 0.334 0.334 0.750
Ho 0.666 0.000 0.750
Ho 0.666 0.666 0.250
Ho 0.667 0.333 0.000
Ho 0.667 0.333 0.500
Cd 0.000 0.333 0.750
Cd 0.000 0.667 0.250
Cd 0.333 0.000 0.750
Cd 0.333 0.333 0.250
Cd 0.667 0.000 0.250
Cd 0.667 0.667 0.750